First-principles (PBE-GGA) data for a geometry-optimized LiHfIn structure, as listed in Alexandria via LeMat-Bulk.

a b c (Å): 4.458 8.613 3.219
angles (deg): 90.00 90.00 90.00
Sites, in units of the cell vectors:
Li: 0.000 0.047 0.500
Li: 0.500 0.953 0.000
Hf: 0.000 0.404 0.000
Hf: 0.500 0.596 0.500
In: 0.000 0.761 0.000
In: 0.500 0.239 0.500

Results
Energy = -0.3702 Ry per atom
Relative energy among the computed polymorphs = 53.9 meV/atom
E_form = -168 meV per atom
DOS at the Fermi energy = 0.567 states/eV/atom
Space group = Pmmn, No. 59
Calculated density = 8.07 g/cm³